<P>
## RbIrRh3 (PBE)

Data for an optimized crystal structure of RbIrRh3.

Calculated values
- symmetry = No. 221
- magnetization (μB per cell) = 0.00

Unit cell a=4.8585 b=4.8585 c=4.8585 alpha=90.00 beta=90.00 gamma=90.00
Positions (direct):
Rb  0.0000  0.0000  0.0000
Ir  0.5000  0.5000  0.5000
Rh  0.0000  0.5000  0.5000
Rh  0.5000  0.0000  0.5000
Rh  0.5000  0.5000  0.0000

<Q>
## RbIrRh3 (PBE)

Data for an optimized crystal structure of RbIrRh3.

Calculated values
- symmetry = No. 221
- magnetization (μB per cell) = 3.57

Unit cell a=4.7142 b=4.7142 c=4.7142 alpha=90.00 beta=90.00 gamma=90.00
Positions (direct):
Rb  0.0000  0.0000  0.0000
Ir  0.5000  0.5000  0.5000
Rh  0.0000  0.0000  0.5000
Rh  0.0000  0.5000  0.0000
Rh  0.5000  0.0000  0.0000

The structure with the greatest stability is <P>.

<P>
## RbIr2Ru (PBE)

Data for an optimized crystal structure of RbIr2Ru.

Calculated values
- symmetry = No. 225
- magnetization (μB per cell) = 12.33

Unit cell a=6.6214 b=6.6214 c=6.6214 alpha=90.00 beta=90.00 gamma=90.00
Positions (direct):
Rb  0.0000  0.0000  0.0000
Rb  0.0000  0.5000  0.5000
Rb  0.5000  0.0000  0.5000
Rb  0.5000  0.5000  0.0000
Ir  0.2500  0.2500  0.2500
Ir  0.2500  0.2500  0.7500
Ir  0.2500  0.7500  0.2500
Ir  0.2500  0.7500  0.7500
Ir  0.7500  0.2500  0.2500
Ir  0.7500  0.2500  0.7500
Ir  0.7500  0.7500  0.2500
Ir  0.7500  0.7500  0.7500
Ru  0.0000  0.0000  0.5000
Ru  0.0000  0.5000  0.0000
Ru  0.5000  0.0000  0.0000
Ru  0.5000  0.5000  0.5000

<Q>
## RbIr2Ru (PBE)

Data for an optimized crystal structure of RbIr2Ru.

Calculated values
- symmetry = No. 122
- magnetization (μB per cell) = 3.68

Unit cell a=7.6695 b=7.6695 c=7.3341 alpha=90.00 beta=90.00 gamma=90.00
Positions (direct):
Rb  0.0000  0.0000  0.0000
Rb  0.0000  0.5000  0.2500
Rb  0.5000  0.0000  0.7500
Rb  0.5000  0.5000  0.5000
Ir  0.1338  0.2500  0.6250
Ir  0.2500  0.6338  0.8750
Ir  0.2500  0.8662  0.3750
Ir  0.3662  0.2500  0.1250
Ir  0.6338  0.7500  0.1250
Ir  0.7500  0.1338  0.3750
Ir  0.7500  0.3662  0.8750
Ir  0.8662  0.7500  0.6250
Ru  0.0000  0.0000  0.5000
Ru  0.0000  0.5000  0.7500
Ru  0.5000  0.0000  0.2500
Ru  0.5000  0.5000  0.0000

The structure with the greatest stability is <Q>.